AgAsSe2 after structural relaxation. Source: the Alexandria database, functional PBE-GGA. Values from VASP.

Quantum ESPRESSO input file:
```
&SYSTEM
  ibrav = 0, nat = 12, ntyp = 3
/
ATOMIC_SPECIES
Ag 107.87 Ag.upf
As 74.92 As.upf
Se 78.96 Se.upf
CELL_PARAMETERS angstrom
3.950 0.000 0.000
-1.975 3.421 0.000
0.000 0.000 19.256
ATOMIC_POSITIONS angstrom
Ag 0.000 0.000 0.000
Ag 0.000 2.281 12.837
Ag 1.975 1.140 6.419
As 0.000 0.000 14.504
As 0.000 2.281 8.085
As 1.975 1.140 1.666
Se 0.000 0.000 5.018
Se 0.000 0.000 9.546
Se 0.000 2.281 3.128
Se 0.000 2.281 17.855
Se 1.975 1.140 11.436
Se 1.975 1.140 15.965
```

Properties
The value obtained for the size of the total moment is 0.000 μB/atom. For the formation energy without anion corrections, the calculation gives 0.13 eV per atom. The crystal system is trigonal.

---

Na2Sc2Bi2S after structural relaxation. Source: the Alexandria database, functional PBE-GGA. Values from VASP.

Quantum ESPRESSO input file:
```
&SYSTEM
  ibrav = 0, nat = 14, ntyp = 4
/
ATOMIC_SPECIES
Na 22.99 Na.upf
Sc 44.96 Sc.upf
Bi 208.98 Bi.upf
S 32.06 S.upf
CELL_PARAMETERS angstrom
4.910 0.000 0.000
0.000 4.910 0.000
0.000 0.000 16.425
ATOMIC_POSITIONS angstrom
Na 0.000 0.000 2.943
Na 0.000 0.000 13.482
Na 2.455 2.455 5.269
Na 2.455 2.455 11.156
Sc 0.000 2.455 0.000
Sc 0.000 2.455 8.213
Sc 2.455 0.000 0.000
Sc 2.455 0.000 8.213
Bi 0.000 0.000 6.188
Bi 0.000 0.000 10.237
Bi 2.455 2.455 2.024
Bi 2.455 2.455 14.401
S 0.000 0.000 0.000
S 2.455 2.455 8.213
```

Properties
The value obtained for the size of the total moment is 0.000 μB/atom. For the formation energy without anion corrections, the calculation gives -0.88 eV per atom. The crystal system is tetragonal.

---

As2RuPb after structural relaxation. Source: the Alexandria database, functional PBE-GGA. Values from VASP.

Quantum ESPRESSO input file:
```
&SYSTEM
  ibrav = 0, nat = 8, ntyp = 3
/
ATOMIC_SPECIES
As 74.92 As.upf
Ru 101.07 Ru.upf
Pb 207.20 Pb.upf
CELL_PARAMETERS angstrom
4.393 0.000 0.000
0.000 4.393 0.000
0.000 0.000 8.032
ATOMIC_POSITIONS angstrom
As 0.000 0.000 0.000
As 0.000 2.197 2.008
As 2.197 0.000 6.024
As 2.197 2.197 4.016
Ru 0.000 0.000 4.016
Ru 2.197 2.197 0.000
Pb 0.000 2.197 6.024
Pb 2.197 0.000 2.008
```

Properties
The value obtained for the formation energy is 525.9 meV/atom. The value obtained for the size of the total moment is 0.000 μB/atom. The crystal system is tetragonal.